Entry from OQMD: Pr2CoAs2PdO2 after structural relaxation (PBE+U). Values from VASP.

Summary:
E_tot ... -6.580 eV/atom

```
&SYSTEM
  ibrav = 0, nat = 8, ntyp = 5
/
ATOMIC_SPECIES
As 74.92 As.upf
O 16.00 O.upf
Co 58.93 Co.upf
Pr 140.91 Pr.upf
Pd 106.42 Pd.upf
ATOMIC_POSITIONS crystal
As 0.000 0.500 0.159
O 0.000 0.000 0.500
As 0.500 0.000 0.841
Co 0.000 0.000 0.000
Pr 0.000 0.500 0.640
Pr 0.500 0.000 0.360
Pd 0.500 0.500 0.000
O 0.500 0.500 0.500
CELL_PARAMETERS angstrom
-3.544 1.243 1.751
0.695 -2.533 3.205
4.110 6.139 3.961
```